A geometry-optimized Y2AlZn2 structure. Source: Alexandria, functional PBEsol.

```
10
Lattice="4.307 0.000 0.000 0.000 13.698 0.000 0.000 0.000 3.500" Properties=species:S:1:pos:R:3 pbc="T T T"
Y 0.000 1.655 0.000
Y 0.000 12.043 0.000
Y 2.154 5.194 0.000
Y 2.154 8.504 0.000
Al 0.000 6.849 1.750
Al 2.154 0.000 1.750
Zn 0.000 4.105 1.750
Zn 0.000 9.593 1.750
Zn 2.154 2.744 1.750
Zn 2.154 10.954 1.750
```

* mass density: 5.397 g/cm³
* DOS at the Fermi energy: 4.03 states/eV/f.u.
* M_tot: 0.00 μB per cell
* formation energy: -0.4088 eV/atom


A geometry-optimized Y2AlZn structure. Source: Alexandria, functional PBEsol.

```
4
Lattice="3.513 0.000 0.000 0.000 3.513 0.000 0.000 0.000 7.206" Properties=species:S:1:pos:R:3 pbc="T T T"
Y 0.000 0.000 1.755
Y 0.000 0.000 5.451
Al 1.757 1.757 3.603
Zn 1.757 1.757 0.000
```

* mass density: 5.044 g/cm³
* DOS at the Fermi energy: 2.48 states/eV/f.u.
* distance to the lowest polymorph of the same formula: 0.0 meV per atom
* M_tot: 0.00 μB per cell
* formation energy: -0.4113 eV/atom


A geometry-optimized Y2AlZn structure. Source: Alexandria, functional PBEsol.

```
8
Lattice="3.566 0.000 0.000 0.000 4.851 0.000 0.000 0.000 10.288" Properties=species:S:1:pos:R:3 pbc="T T T"
Y 0.000 0.000 0.000
Y 0.000 2.426 2.305
Y 1.783 0.000 7.450
Y 1.783 2.426 5.144
Al 0.000 0.000 4.563
Al 1.783 2.426 9.707
Zn 0.000 2.426 7.836
Zn 1.783 0.000 2.691
```

* mass density: 5.042 g/cm³
* DOS at the Fermi energy: 3.95 states/eV/f.u.
* distance to the lowest polymorph of the same formula: 75.8 meV per atom
* M_tot: 0.00 μB per cell
* formation energy: -0.3355 eV/atom


A geometry-optimized YAl2Zn structure. Source: Alexandria, functional PBEsol.

```
16
Lattice="4.441 0.000 0.000 0.000 4.441 0.000 0.000 0.000 17.954" Properties=species:S:1:pos:R:3 pbc="T T T"
Y 0.000 0.000 0.000
Y 0.000 2.220 4.489
Y 2.220 0.000 13.466
Y 2.220 2.220 8.977
Al 0.622 1.110 11.222
Al 1.110 2.843 15.710
Al 1.110 3.818 6.733
Al 1.598 1.110 2.244
Al 2.843 3.330 2.244
Al 3.330 0.622 6.733
Al 3.330 1.598 15.710
Al 3.818 3.330 11.222
Zn 0.000 0.000 8.977
Zn 0.000 2.220 13.466
Zn 2.220 0.000 4.489
Zn 2.220 2.220 0.000
```

* mass density: 3.908 g/cm³
* DOS at the Fermi energy: 1.92 states/eV/f.u.
* M_tot: 0.00 μB per cell
* formation energy: 0.0666 eV/atom


A geometry-optimized YAl2Zn structure. Source: Alexandria, functional PBEsol.

```
16
Lattice="6.687 0.000 0.000 0.000 6.687 0.000 0.000 0.000 6.687" Properties=species:S:1:pos:R:3 pbc="T T T"
Y 0.000 0.000 0.000
Y 0.000 3.343 3.343
Y 3.343 0.000 3.343
Y 3.343 3.343 0.000
Al 0.000 0.000 3.343
Al 0.000 3.343 0.000
Al 1.672 1.672 1.672
Al 1.672 5.015 5.015
Al 3.343 0.000 0.000
Al 3.343 3.343 3.343
Al 5.015 1.672 5.015
Al 5.015 5.015 1.672
Zn 1.672 1.672 5.015
Zn 1.672 5.015 1.672
Zn 5.015 1.672 1.672
Zn 5.015 5.015 5.015
```

* mass density: 4.627 g/cm³
* DOS at the Fermi energy: 2.30 states/eV/f.u.
* M_tot: 0.00 μB per cell
* formation energy: -0.1729 eV/atom


A geometry-optimized YAl2Zn structure. Source: Alexandria, functional PBEsol.

```
12
Lattice="3.100 0.000 0.000 -1.550 2.685 0.000 0.000 0.000 28.068" Properties=species:S:1:pos:R:3 pbc="T T T"
Y 0.000 0.000 0.000
Y 0.000 1.790 18.712
Y 1.550 0.895 9.356
Al 0.000 0.000 6.741
Al 0.000 0.000 21.328
Al 0.000 1.790 11.972
Al 0.000 1.790 25.453
Al 1.550 0.895 2.616
Al 1.550 0.895 16.097
Zn 0.000 0.000 14.034
Zn 0.000 1.790 4.678
Zn 1.550 0.895 23.390
```

* mass density: 4.440 g/cm³
* DOS at the Fermi energy: 3.12 states/eV/f.u.
* M_tot: 0.00 μB per cell
* formation energy: 0.0502 eV/atom